#P
DFT (GGA-PBE) results for Cd2OsCl after structural relaxation.

CIF file:
```
data_Cd2OsCl
_space_group_name_H-M_alt 'P 1'
_space_group_IT_number 1
_cell_length_a 6.2740
_cell_length_b 6.2740
_cell_length_c 7.7840
_cell_angle_alpha 66.23
_cell_angle_beta 66.23
_cell_angle_gamma 90.00
loop_
_space_group_symop_operation_xyz
'x,y,z'
loop_
_atom_site_label
_atom_site_type_symbol
_atom_site_fract_x
_atom_site_fract_y
_atom_site_fract_z
Cl1 Cl 0.5000 0.5000 0.0000
Cl2 Cl 0.2500 0.7500 0.5000
Cd1 Cd 0.8750 0.8967 0.7500
Cd2 Cd 0.3750 0.3533 0.7500
Cd3 Cd 0.6467 0.1250 0.2500
Cd4 Cd 0.1033 0.6250 0.2500
Os1 Os 0.0000 0.0000 0.0000
Os2 Os 0.7500 0.2500 0.5000
```

#Q
DFT (GGA-PBE) results for Cd2OsCl after structural relaxation.

CIF file:
```
data_Cd2OsCl
_space_group_name_H-M_alt 'P 1'
_space_group_IT_number 1
_cell_length_a 5.5730
_cell_length_b 5.5730
_cell_length_c 5.5730
_cell_angle_alpha 137.42
_cell_angle_beta 137.42
_cell_angle_gamma 61.79
loop_
_space_group_symop_operation_xyz
'x,y,z'
loop_
_atom_site_label
_atom_site_type_symbol
_atom_site_fract_x
_atom_site_fract_y
_atom_site_fract_z
Os1 Os 0.7500 0.2500 0.5000
Cd1 Cd 0.0000 0.0000 0.0000
Cd2 Cd 0.2500 0.7500 0.5000
Cl1 Cl 0.5000 0.5000 0.0000
```

#R
DFT (GGA-PBE) results for Cd2OsCl after structural relaxation.

CIF file:
```
data_Cd2OsCl
_space_group_name_H-M_alt 'P 1'
_space_group_IT_number 1
_cell_length_a 3.0931
_cell_length_b 3.1540
_cell_length_c 8.2279
_cell_angle_alpha 89.93
_cell_angle_beta 90.00
_cell_angle_gamma 90.00
loop_
_space_group_symop_operation_xyz
'x,y,z'
loop_
_atom_site_label
_atom_site_type_symbol
_atom_site_fract_x
_atom_site_fract_y
_atom_site_fract_z
Cd1 Cd 0.0000 0.2491 0.9724
Cd2 Cd 0.0000 0.2509 0.5276
Os1 Os 0.5000 0.7500 0.7500
Cl1 Cl 0.5000 0.2500 0.2500
```

The winner here is #R, beating the second structure by 0.557 eV/atom.

#P
DFT (GGA-PBE) results for Cd2OsCl after structural relaxation.

CIF file:
```
data_Cd2OsCl
_space_group_name_H-M_alt 'P 1'
_space_group_IT_number 1
_cell_length_a 2.7053
_cell_length_b 5.2415
_cell_length_c 5.6929
_cell_angle_alpha 90.00
_cell_angle_beta 90.00
_cell_angle_gamma 90.00
loop_
_space_group_symop_operation_xyz
'x,y,z'
loop_
_atom_site_label
_atom_site_type_symbol
_atom_site_fract_x
_atom_site_fract_y
_atom_site_fract_z
Cd1 Cd 0.0000 0.0000 0.8748
Cd2 Cd 0.5000 0.5000 0.3750
Cl1 Cl 0.0000 0.0000 0.3751
Os1 Os 0.5000 0.5000 0.8751
```

#Q
DFT (GGA-PBE) results for Cd2OsCl after structural relaxation.

CIF file:
```
data_Cd2OsCl
_space_group_name_H-M_alt 'P 1'
_space_group_IT_number 1
_cell_length_a 3.0379
_cell_length_b 3.0379
_cell_length_c 10.5348
_cell_angle_alpha 90.00
_cell_angle_beta 90.00
_cell_angle_gamma 123.35
loop_
_space_group_symop_operation_xyz
'x,y,z'
loop_
_atom_site_label
_atom_site_type_symbol
_atom_site_fract_x
_atom_site_fract_y
_atom_site_fract_z
Cl1 Cl 0.0000 0.0000 0.5592
Os1 Os 0.5000 0.5000 0.7360
Cd1 Cd 0.0000 0.0000 0.9671
Cd2 Cd 0.5000 0.5000 0.2377
```

The winner here is #Q, beating the second structure by 0.064 eV/atom.

#P
DFT (GGA-PBE) results for Cd2OsCl after structural relaxation.

CIF file:
```
data_Cd2OsCl
_space_group_name_H-M_alt 'P 1'
_space_group_IT_number 1
_cell_length_a 9.0205
_cell_length_b 9.0205
_cell_length_c 9.0205
_cell_angle_alpha 20.14
_cell_angle_beta 20.14
_cell_angle_gamma 20.14
loop_
_space_group_symop_operation_xyz
'x,y,z'
loop_
_atom_site_label
_atom_site_type_symbol
_atom_site_fract_x
_atom_site_fract_y
_atom_site_fract_z
Os1 Os 0.2500 0.2500 0.2500
Cd1 Cd 0.9979 0.9979 0.9979
Cd2 Cd 0.5021 0.5021 0.5021
Cl1 Cl 0.7500 0.7500 0.7500
```

#Q
DFT (GGA-PBE) results for Cd2OsCl after structural relaxation.

CIF file:
```
data_Cd2OsCl
_space_group_name_H-M_alt 'P 1'
_space_group_IT_number 1
_cell_length_a 2.8846
_cell_length_b 4.8878
_cell_length_c 5.3261
_cell_angle_alpha 90.00
_cell_angle_beta 90.00
_cell_angle_gamma 90.00
loop_
_space_group_symop_operation_xyz
'x,y,z'
loop_
_atom_site_label
_atom_site_type_symbol
_atom_site_fract_x
_atom_site_fract_y
_atom_site_fract_z
Os1 Os 0.0000 0.5000 0.5000
Cd1 Cd 0.0000 0.0000 0.0000
Cd2 Cd 0.5000 0.5000 0.0000
Cl1 Cl 0.5000 0.0000 0.5000
```

#R
DFT (GGA-PBE) results for Cd2OsCl after structural relaxation.

CIF file:
```
data_Cd2OsCl
_space_group_name_H-M_alt 'P 1'
_space_group_IT_number 1
_cell_length_a 6.9285
_cell_length_b 6.9285
_cell_length_c 6.9285
_cell_angle_alpha 155.50
_cell_angle_beta 139.26
_cell_angle_gamma 48.12
loop_
_space_group_symop_operation_xyz
'x,y,z'
loop_
_atom_site_label
_atom_site_type_symbol
_atom_site_fract_x
_atom_site_fract_y
_atom_site_fract_z
Cd1 Cd 0.0767 0.0767 0.0000
Cd2 Cd 0.7420 0.2420 0.5000
Cl1 Cl 0.4159 0.4159 0.0000
Os1 Os 0.2654 0.7654 0.5000
```

The winner here is #P, beating the second structure by 0.012 eV/atom.

#P
DFT (GGA-PBE) results for Cd3OsCl after structural relaxation.

CIF file:
```
data_Cd3OsCl
_space_group_name_H-M_alt 'P 1'
_space_group_IT_number 1
_cell_length_a 5.2881
_cell_length_b 5.2881
_cell_length_c 5.2881
_cell_angle_alpha 90.00
_cell_angle_beta 90.00
_cell_angle_gamma 90.00
loop_
_space_group_symop_operation_xyz
'x,y,z'
loop_
_atom_site_label
_atom_site_type_symbol
_atom_site_fract_x
_atom_site_fract_y
_atom_site_fract_z
Cd1 Cd 0.0000 0.5000 0.0000
Cd2 Cd 0.5000 0.0000 0.0000
Cd3 Cd 0.0000 0.0000 0.5000
Os1 Os 0.0000 0.0000 0.0000
Cl1 Cl 0.5000 0.5000 0.5000
```

#Q
DFT (GGA-PBE) results for Cd3OsCl after structural relaxation.

CIF file:
```
data_Cd3OsCl
_space_group_name_H-M_alt 'P 1'
_space_group_IT_number 1
_cell_length_a 4.9868
_cell_length_b 4.9868
_cell_length_c 4.9868
_cell_angle_alpha 90.00
_cell_angle_beta 90.00
_cell_angle_gamma 90.00
loop_
_space_group_symop_operation_xyz
'x,y,z'
loop_
_atom_site_label
_atom_site_type_symbol
_atom_site_fract_x
_atom_site_fract_y
_atom_site_fract_z
Cd1 Cd 0.0000 0.5000 0.0000
Cd2 Cd 0.5000 0.0000 0.0000
Cd3 Cd 0.0000 0.0000 0.5000
Cl1 Cl 0.0000 0.0000 0.0000
Os1 Os 0.5000 0.5000 0.5000
```

The winner here is #P, beating the second structure by 0.729 eV/atom.